Record 1
# PBE HoAsPd3, optimized geometry
# Formation energy, eV/atom: -0.47
data_HoAsPd3
_chemical_formula_sum 'Ho4 As4 Pd12'
_cell_length_a 5.1664
_cell_length_b 5.1664
_cell_length_c 16.3726
_cell_angle_alpha 90.00
_cell_angle_beta 90.00
_cell_angle_gamma 90.00
_space_group_name_H-M_alt 'I -4 m 2'
_space_group_IT_number 119
_space_group_name_Hall 'I -4 -2'
loop_
_atom_site_label
_atom_site_fract_x
_atom_site_fract_y
_atom_site_fract_z
Ho1 0.0000 0.0000 0.1533
As1 0.0000 0.0000 0.5000
As2 0.0000 0.5000 0.7500
Pd1 0.0000 0.2459 0.6251
Pd2 0.0000 0.5000 0.0527

Record 2
# PBE RbScSi, optimized geometry
# Offset from the most stable computed form, meV per atom: 0
# Formation energy (no corrections), eV/atom: -0.2528
data_RbScSi
_chemical_formula_sum 'Rb2 Sc2 Si2'
_cell_length_a 4.9103
_cell_length_b 4.9103
_cell_length_c 7.9351
_cell_angle_alpha 90.00
_cell_angle_beta 90.00
_cell_angle_gamma 90.00
_space_group_name_H-M_alt 'P 4/n m m'
_space_group_IT_number 129
loop_
_space_group_symop_operation_xyz
'x,y,z'
'-x,-y,-z'
'-y+1/2,x,z'
'y+1/2,-x,-z'
'-x+1/2,-y+1/2,z'
'x+1/2,y+1/2,-z'
'y,-x+1/2,z'
'-y,x+1/2,-z'
'x+1/2,-y,-z'
'-x+1/2,y,z'
'-y,-x,-z'
'y,x,z'
'-x,y+1/2,-z'
'x,-y+1/2,z'
'y+1/2,x+1/2,-z'
'-y+1/2,-x+1/2,z'
loop_
_atom_site_label
_atom_site_fract_x
_atom_site_fract_y
_atom_site_fract_z
Rb1 0.2500 0.2500 0.1311
Sc1 0.2500 0.7500 0.5000
Si1 0.2500 0.2500 0.6555

Record 3
# PBE PuZn2Ir, optimized geometry
# Formation energy, eV/atom: -0.07
data_PuZn2Ir
_chemical_formula_sum 'Pu4 Zn8 Ir4'
_cell_length_a 6.5553
_cell_length_b 6.5553
_cell_length_c 6.5553
_cell_angle_alpha 90.00
_cell_angle_beta 90.00
_cell_angle_gamma 90.00
_space_group_name_H-M_alt 'F m -3 m'
_space_group_IT_number 225
_space_group_name_Hall '-F 4 2 3'
loop_
_atom_site_label
_atom_site_fract_x
_atom_site_fract_y
_atom_site_fract_z
Pu1 0.0000 0.0000 0.0000
Zn1 0.2500 0.2500 0.2500
Ir1 0.0000 0.0000 0.5000

Record 4
# PBE LaPr3Ru, optimized geometry
# Formation energy, eV/atom: 0.03
# Offset from the most stable computed form, meV per atom: 191
data_LaPr3Ru
_chemical_formula_sum 'La1 Pr3 Ru1'
_cell_length_a 5.6069
_cell_length_b 5.6069
_cell_length_c 5.6069
_cell_angle_alpha 90.00
_cell_angle_beta 90.00
_cell_angle_gamma 90.00
_space_group_name_H-M_alt 'P m -3 m'
_space_group_IT_number 221
_space_group_name_Hall '-P 4 2 3'
loop_
_atom_site_label
_atom_site_fract_x
_atom_site_fract_y
_atom_site_fract_z
La1 0.0000 0.0000 0.0000
Pr1 0.0000 0.5000 0.5000
Ru1 0.5000 0.5000 0.5000

| no. | total magnetization (μB/f.u.) | final energy (Ry/atom) |
| --- | --- | --- |
| 1 | 0.00 | -0.399 |
| 2 | 0.00 | -0.330 |
| 3 | 5.11 | -0.478 |
| 4 | 1.21 | -0.417 |